1.
A plane-wave DFT calculation with PBE-GGA was carried out for crystalline YMgTa2 at its relaxed geometry.

The volume is 88 Å³/f.u. The value obtained for the energy of formation is 35 kJ/mol of atoms. As for the crystal system: trigonal.

a b c (Å): 10.512 10.512 10.512
angles (deg): 17.10 17.10 17.10
Fractional coordinates of all 4 atoms:
1 Y 0.000 0.000 0.000
2 Mg 0.238 0.238 0.238
3 Ta 0.491 0.491 0.491
4 Ta 0.750 0.750 0.750

2.
A plane-wave DFT calculation with PBE-GGA was carried out for crystalline YMg2Ta at its relaxed geometry.

As for the energy above the most stable polymorph in this dataset: 0 meV/atom. The volume is 92 Å³/f.u. The value obtained for the energy of formation is 18 kJ/mol of atoms. As for the crystal system: tetragonal.

a b c (Å): 3.068 3.068 9.771
angles (deg): 90.00 90.00 90.00
Fractional coordinates of all 4 atoms:
1 Y 0.000 0.000 0.000
2 Mg 0.000 0.000 0.531
3 Mg 0.500 0.500 0.283
4 Ta 0.500 0.500 0.761

3.
A plane-wave DFT calculation with PBE-GGA was carried out for crystalline YMgTa2 at its relaxed geometry.

The volume is 87 Å³/f.u. The value obtained for the energy of formation is 24 kJ/mol of atoms. As for the crystal system: orthorhombic.

a b c (Å): 3.014 3.014 10.110
angles (deg): 90.00 90.00 109.02
Fractional coordinates of all 4 atoms:
1 Y 0.000 0.000 0.000
2 Mg 0.500 0.500 0.287
3 Ta 0.000 0.000 0.531
4 Ta 0.500 0.500 0.740

4.
A plane-wave DFT calculation with PBE-GGA was carried out for crystalline YMg2Ta at its relaxed geometry.

As for the energy above the most stable polymorph in this dataset: 141 meV/atom. The volume is 92 Å³/f.u. The value obtained for the energy of formation is 31 kJ/mol of atoms. As for the crystal system: orthorhombic.

a b c (Å): 6.349 6.349 6.349
angles (deg): 150.83 131.74 57.39
Fractional coordinates of all 4 atoms:
1 Y 0.000 0.000 0.000
2 Mg 0.271 0.771 0.500
3 Mg 0.729 0.229 0.500
4 Ta 0.500 0.500 0.000

5.
A plane-wave DFT calculation with PBE-GGA was carried out for crystalline YMgTa2 at its relaxed geometry.

The volume is 86 Å³/f.u. The value obtained for the energy of formation is 46 kJ/mol of atoms. As for the crystal system: orthorhombic.

a b c (Å): 2.931 4.919 5.934
angles (deg): 90.00 90.00 90.00
Fractional coordinates of all 4 atoms:
1 Y 0.000 0.000 0.000
2 Mg 0.000 0.000 0.500
3 Ta 0.500 0.500 0.245
4 Ta 0.500 0.500 0.755

6.
A plane-wave DFT calculation with PBE-GGA was carried out for crystalline YMg2Ta at its relaxed geometry.

As for the energy above the most stable polymorph in this dataset: 304 meV/atom. The volume is 94 Å³/f.u. The value obtained for the energy of formation is 47 kJ/mol of atoms. As for the crystal system: cubic.

a b c (Å): 5.100 5.100 5.100
angles (deg): 60.00 60.00 60.00
Fractional coordinates of all 4 atoms:
1 Y 0.000 0.000 0.000
2 Mg 0.250 0.250 0.250
3 Mg 0.500 0.500 0.500
4 Ta 0.750 0.750 0.750

Repeat the third record exactly.
A plane-wave DFT calculation with PBE-GGA was carried out for crystalline YMgTa2 at its relaxed geometry.

The volume is 87 Å³/f.u. The value obtained for the energy of formation is 24 kJ/mol of atoms. As for the crystal system: orthorhombic.

a b c (Å): 3.014 3.014 10.110
angles (deg): 90.00 90.00 109.02
Fractional coordinates of all 4 atoms:
1 Y 0.000 0.000 0.000
2 Mg 0.500 0.500 0.287
3 Ta 0.000 0.000 0.531
4 Ta 0.500 0.500 0.740

Question: What is the formula in the fifth record?
Answer: YMgTa2

What did the first record say?
A plane-wave DFT calculation with PBE-GGA was carried out for crystalline YMgTa2 at its relaxed geometry.

The volume is 88 Å³/f.u. The value obtained for the energy of formation is 35 kJ/mol of atoms. As for the crystal system: trigonal.

a b c (Å): 10.512 10.512 10.512
angles (deg): 17.10 17.10 17.10
Fractional coordinates of all 4 atoms:
1 Y 0.000 0.000 0.000
2 Mg 0.238 0.238 0.238
3 Ta 0.491 0.491 0.491
4 Ta 0.750 0.750 0.750